First-principles (PBE) data for TlHg6 after structural relaxation, as listed in Alexandria via LeMat-Bulk.

Relative energy among the computed polymorphs (kJ/mol of atoms): 0.0
Energy (eV/cell): -4.14
ΔE_f (eV per atom): 0.006
Volume (Å³ per atom): 30.26
Fermi-level density of states (states/eV per cell): 1.74

abc: 5.349 5.349 7.405
angles: 90.00 90.00 90.00
Space group P4/mmm (No. 123)
Unique sites:
Tl  0.000  0.000  0.000
Hg  0.000  0.000  0.500
Hg  0.000  0.500  0.275
Hg  0.500  0.500  0.000